Entry 1:
A plane-wave DFT calculation with SCAN was carried out for Tm3Fe2Si3 at its PBEsol-relaxed geometry.

Computed properties:
The calculation puts the energy at -907.5 eV per cell. The uncorrected formation energy comes out at -0.634 eV per atom.

Unit cell a=4.0110 b=10.1985 c=13.2663 alpha=90.00 beta=90.00 gamma=90.00
Space group Cmcm (No. 63)
Asymmetric unit:
Tm1 0.0000 0.0811 0.1123 [8 per cell]
Tm2 0.0000 0.3660 0.2500 [4 per cell]
Fe1 0.0000 0.2143 0.5810 [8 per cell]
Si1 0.0000 0.3239 0.7500 [4 per cell]
Si2 0.0000 0.3774 0.0395 [8 per cell]



Entry 2:
A plane-wave DFT calculation with SCAN was carried out for TcTe2P at its PBEsol-relaxed geometry.

Computed properties:
The calculation puts the energy at -470.2 eV per cell. The uncorrected formation energy comes out at 0.600 eV per atom.

Unit cell a=6.4709 b=6.4709 c=10.0765 alpha=90.00 beta=90.00 gamma=90.00
Space group I-42d (No. 122)
Asymmetric unit:
Tc1 0.0000 0.0000 0.0000 [4 per cell]
Te1 0.2268 0.2500 0.1250 [8 per cell]
P1 0.0000 0.0000 0.5000 [4 per cell]



Entry 3:
A plane-wave DFT calculation with SCAN was carried out for ZrP3Br at its PBEsol-relaxed geometry.

Computed properties:
The calculation puts the energy at -75.9 eV per cell. The uncorrected formation energy comes out at 1.088 eV per atom.

Unit cell a=4.6427 b=4.6427 c=4.6427 alpha=90.00 beta=90.00 gamma=90.00
Space group Pm-3m (No. 221)
Asymmetric unit:
Zr1 0.0000 0.0000 0.0000 [1 per cell]
P1 0.0000 0.5000 0.5000 [3 per cell]
Br1 0.5000 0.5000 0.5000 [1 per cell]



Entry 4:
A plane-wave DFT calculation with SCAN was carried out for CuSi2Te at its PBEsol-relaxed geometry.

Computed properties:
The calculation puts the energy at -283.8 eV per cell. The uncorrected formation energy comes out at 0.385 eV per atom.

Unit cell a=5.5974 b=5.5974 c=11.4494 alpha=90.00 beta=90.00 gamma=90.00
Space group I-42d (No. 122)
Asymmetric unit:
Cu1 0.0000 0.0000 0.0000 [4 per cell]
Si1 0.1810 0.2500 0.1250 [8 per cell]
Te1 0.0000 0.0000 0.5000 [4 per cell]